A plane-wave DFT calculation with GGA-PBEsol was carried out for crystalline CrCoMo3 at its relaxed geometry.

abc: 4.3835 4.3835 4.3835
angles: 90.00 90.00 90.00
With the nearest neighbours (Å) after each atom.
Element x y z (fractional)
Cr  0.0000  0.0000  0.0000  12 Mo 3.10
Co  0.5000  0.5000  0.5000  6 Mo 2.19
Mo  0.0000  0.5000  0.5000  2 Co 2.19
Mo  0.5000  0.0000  0.5000  2 Co 2.19
Mo  0.5000  0.5000  0.0000  2 Co 2.19

Output
* symmetry: Pm-3m
* ΔE_f: 1.410 eV/atom
* size of the total moment: 2.9 Bohr magnetons per cell
* DOS(E_F): 6.37 states/eV/cell
* V: 84 Å³/cell
* crystal system: cubic
* energy: -46.232 eV per formula unit

A plane-wave DFT calculation with GGA-PBEsol was carried out for crystalline CrCoMo at its relaxed geometry.

abc: 2.5912 2.5912 6.3986
angles: 90.00 90.00 120.00
With the nearest neighbours (Å) after each atom.
Element x y z (fractional)
Cr  0.0000  0.0000  0.0000  3 Co 2.39, 6 Cr 2.59
Co  0.6667  0.3333  0.2920  3 Cr 2.39, 6 Co 2.59, 3 Mo 2.66
Mo  0.3333  0.6667  0.6365  6 Mo 2.59, 3 Co 2.66, 3 Cr 2.77

Output
* symmetry: P3m1
* ΔE_f: 0.321 eV/atom
* size of the total moment: 0.5 Bohr magnetons per cell
* DOS(E_F): 3.72 states/eV/cell
* V: 37 Å³/cell
* crystal system: trigonal
* energy: -28.785 eV per formula unit

A plane-wave DFT calculation with GGA-PBEsol was carried out for crystalline CrCo6Mo at its relaxed geometry.

abc: 6.0437 6.0437 9.8735
angles: 90.00 90.00 109.56
With the nearest neighbours (Å) after each atom.
Element x y z (fractional)
Cr  0.0000  0.0000  0.2476  12 Co 2.43-2.49
Cr  0.0000  0.0000  0.7524  12 Co 2.43-2.49
Cr  0.2535  0.7465  0.0000  12 Co 2.42-2.50
Cr  0.7465  0.2535  0.0000  12 Co 2.42-2.50
Co  0.0000  0.0000  0.0000  8 Co 2.44, 4 Cr 2.44-2.50
Co  0.0000  0.0000  0.5000  8 Co 2.45, 2 Cr 2.49, 2 Mo 2.50
Co  0.1190  0.3722  0.1223  8 Co 2.41-2.50, 3 Cr 2.44-2.45, 1 Mo 2.50
Co  0.1190  0.3722  0.8777  8 Co 2.41-2.50, 3 Cr 2.44-2.45, 1 Mo 2.50
Co  0.1215  0.3685  0.3721  1 Cr 2.43, 8 Co 2.44-2.53, 3 Mo 2.48-2.50
Co  0.1215  0.3685  0.6279  1 Cr 2.43, 8 Co 2.44-2.53, 3 Mo 2.48-2.50
Co  0.2469  0.7531  0.2449  8 Co 2.41-2.52, 2 Cr 2.42-2.44, 2 Mo 2.50-2.52
Co  0.2469  0.7531  0.7551  8 Co 2.41-2.52, 2 Cr 2.42-2.44, 2 Mo 2.50-2.52
Co  0.3685  0.1215  0.3721  1 Cr 2.43, 8 Co 2.44-2.53, 3 Mo 2.48-2.50
Co  0.3685  0.1215  0.6279  1 Cr 2.43, 8 Co 2.44-2.53, 3 Mo 2.48-2.50
Co  0.3722  0.1190  0.1223  8 Co 2.41-2.50, 3 Cr 2.44-2.45, 1 Mo 2.50
Co  0.3722  0.1190  0.8777  8 Co 2.41-2.50, 3 Cr 2.44-2.45, 1 Mo 2.50
Co  0.5000  0.5000  0.0000  2 Cr 2.43, 2 Mo 2.45, 8 Co 2.48
Co  0.5000  0.5000  0.5000  4 Mo 2.44-2.48, 8 Co 2.50
Co  0.6278  0.8810  0.1223  8 Co 2.41-2.50, 3 Cr 2.44-2.45, 1 Mo 2.50
Co  0.6278  0.8810  0.8777  8 Co 2.41-2.50, 3 Cr 2.44-2.45, 1 Mo 2.50
Co  0.6315  0.8785  0.3721  1 Cr 2.43, 8 Co 2.44-2.53, 3 Mo 2.48-2.50
Co  0.6315  0.8785  0.6279  1 Cr 2.43, 8 Co 2.44-2.53, 3 Mo 2.48-2.50
Co  0.7531  0.2469  0.2449  8 Co 2.41-2.52, 2 Cr 2.42-2.44, 2 Mo 2.50-2.52
Co  0.7531  0.2469  0.7551  8 Co 2.41-2.52, 2 Cr 2.42-2.44, 2 Mo 2.50-2.52
Co  0.8785  0.6315  0.3721  1 Cr 2.43, 8 Co 2.44-2.53, 3 Mo 2.48-2.50
Co  0.8785  0.6315  0.6279  1 Cr 2.43, 8 Co 2.44-2.53, 3 Mo 2.48-2.50
Co  0.8810  0.6278  0.1223  8 Co 2.41-2.50, 3 Cr 2.44-2.45, 1 Mo 2.50
Co  0.8810  0.6278  0.8777  8 Co 2.41-2.50, 3 Cr 2.44-2.45, 1 Mo 2.50
Mo  0.2530  0.7470  0.5000  12 Co 2.44-2.52
Mo  0.5000  0.5000  0.2484  12 Co 2.45-2.50
Mo  0.5000  0.5000  0.7516  12 Co 2.45-2.50
Mo  0.7470  0.2530  0.5000  12 Co 2.44-2.52

Output
* symmetry: Cmmm
* ΔE_f: -0.009 eV/atom
* size of the total moment: 3.0 Bohr magnetons per cell
* DOS(E_F): 34.16 states/eV/cell
* V: 340 Å³/cell
* crystal system: orthorhombic
* energy: -68.508 eV per formula unit

A plane-wave DFT calculation with GGA-PBEsol was carried out for crystalline TlCrCo2Mo at its relaxed geometry.

abc: 4.2537 4.2537 4.3908
angles: 90.00 90.00 90.00
With the nearest neighbours (Å) after each atom.
Element x y z (fractional)
Tl  0.0000  0.0000  0.0000  4 Mo 3.01, 8 Co 3.06
Cr  0.5000  0.5000  0.5000  4 Co 2.13, 2 Mo 2.20
Co  0.0000  0.5000  0.5000  2 Cr 2.13
Co  0.5000  0.0000  0.5000  2 Cr 2.13
Mo  0.5000  0.5000  0.0000  2 Cr 2.20

Output
* symmetry: P4/mmm
* ΔE_f: 1.158 eV/atom
* size of the total moment: 1.7 Bohr magnetons per cell
* DOS(E_F): 6.40 states/eV/cell
* V: 79 Å³/cell
* crystal system: tetragonal
* energy: -34.323 eV per formula unit

A plane-wave DFT calculation with GGA-PBEsol was carried out for crystalline CrCo2N3 at its relaxed geometry.

abc: 5.0161 5.0161 5.1068
angles: 90.00 90.00 59.90
With the nearest neighbours (Å) after each atom.
Element x y z (fractional)
Cr  0.1604  0.8396  0.5000  4 N 1.80-1.85
Cr  0.8396  0.1604  0.0000  4 N 1.80-1.85
Co  0.1702  0.5198  0.9382  4 N 1.83-1.85
Co  0.4802  0.8298  0.9382  4 N 1.83-1.85
Co  0.5198  0.1702  0.4382  4 N 1.83-1.85
Co  0.8298  0.4802  0.4382  4 N 1.83-1.85
N  0.1631  0.4882  0.5768  1 Cr 1.80, 3 Co 1.83-1.85
N  0.1764  0.8236  0.1388  2 Cr 1.83-1.85, 2 Co 1.85
N  0.4882  0.1631  0.0768  1 Cr 1.80, 3 Co 1.83-1.85
N  0.5118  0.8369  0.5768  1 Cr 1.80, 3 Co 1.83-1.85
N  0.8236  0.1764  0.6388  2 Cr 1.83-1.85, 2 Co 1.85
N  0.8369  0.5118  0.0768  1 Cr 1.80, 3 Co 1.83-1.85

Output
* symmetry: Cmc2_1
* E_form (uncorrected): -215 meV per atom
* size of the total moment: 0.0 Bohr magnetons per cell
* DOS(E_F): 7.46 states/eV/cell
* V: 111 Å³/cell
* crystal system: orthorhombic
* energy: -52.586 eV per formula unit

A plane-wave DFT calculation with GGA-PBEsol was carried out for crystalline NaCrCo3 at its relaxed geometry.

abc: 4.1914 4.1914 4.1914
angles: 90.00 90.00 90.00
With the nearest neighbours (Å) after each atom.
Element x y z (fractional)
Na  0.0000  0.0000  0.0000  12 Co 2.96
Cr  0.5000  0.5000  0.5000  6 Co 2.10
Co  0.0000  0.5000  0.5000  2 Cr 2.10
Co  0.5000  0.0000  0.5000  2 Cr 2.10
Co  0.5000  0.5000  0.0000  2 Cr 2.10

Output
* symmetry: Pm-3m
* ΔE_f: 1.146 eV/atom
* size of the total moment: 1.0 Bohr magnetons per cell
* DOS(E_F): 6.31 states/eV/cell
* V: 74 Å³/cell
* crystal system: cubic
* energy: -29.122 eV per formula unit

Please write out number 4 again, unchanged.
A plane-wave DFT calculation with GGA-PBEsol was carried out for crystalline TlCrCo2Mo at its relaxed geometry.

abc: 4.2537 4.2537 4.3908
angles: 90.00 90.00 90.00
With the nearest neighbours (Å) after each atom.
Element x y z (fractional)
Tl  0.0000  0.0000  0.0000  4 Mo 3.01, 8 Co 3.06
Cr  0.5000  0.5000  0.5000  4 Co 2.13, 2 Mo 2.20
Co  0.0000  0.5000  0.5000  2 Cr 2.13
Co  0.5000  0.0000  0.5000  2 Cr 2.13
Mo  0.5000  0.5000  0.0000  2 Cr 2.20

Output
* symmetry: P4/mmm
* ΔE_f: 1.158 eV/atom
* size of the total moment: 1.7 Bohr magnetons per cell
* DOS(E_F): 6.40 states/eV/cell
* V: 79 Å³/cell
* crystal system: tetragonal
* energy: -34.323 eV per formula unit